# 1
# KNb2ICl | Alexandria via LeMat-Bulk | PBE | relaxed
# total magnetic moment: 2.02 μB/f.u.
# uncorrected energy: -21.57 eV for the cell shown
data_KNb2ICl
_symmetry_space_group_name_H-M 'P 4/m m m'
_symmetry_Int_Tables_number 123
_symmetry_space_group_name_Hall '-P 4 2'
_cell_length_a 4.685
_cell_length_b 4.685
_cell_length_c 6.338
_cell_angle_alpha 90.00
_cell_angle_beta 90.00
_cell_angle_gamma 90.00
loop_
_atom_site_label
_atom_site_fract_x
_atom_site_fract_y
_atom_site_fract_z
_atom_site_occupancy
K1 0.000 0.000 0.000 1
Nb1 0.000 0.500 0.500 1
I1 0.500 0.500 0.000 1
Cl1 0.000 0.000 0.500 1

# 2
# K3NbI2Cl6 | Alexandria via LeMat-Bulk | PBE | relaxed
# total magnetic moment: 0.00 μB/f.u.
# uncorrected energy: -89.04 eV for the cell shown
data_K3NbI2Cl6
_symmetry_space_group_name_H-M 'C 1 2/m 1'
_symmetry_Int_Tables_number 12
_cell_length_a 17.345
_cell_length_b 8.946
_cell_length_c 5.780
_cell_angle_alpha 90.00
_cell_angle_beta 90.57
_cell_angle_gamma 90.00
loop_
_symmetry_equiv_pos_as_xyz
'x,y,z'
'-x,-y,-z'
'-x,y,-z'
'x,-y,z'
'x+1/2,y+1/2,z'
'-x+1/2,-y+1/2,-z'
'-x+1/2,y+1/2,-z'
'x+1/2,-y+1/2,z'
loop_
_atom_site_label
_atom_site_fract_x
_atom_site_fract_y
_atom_site_fract_z
_atom_site_occupancy
K1 0.000 0.000 0.000 1
K2 0.250 0.250 0.500 1
Nb1 0.000 0.500 0.500 1
I1 0.195 0.000 0.933 1
Cl1 0.060 0.309 0.273 1
Cl2 0.110 0.500 0.748 1

# 3
# K2NiICl6 | Alexandria via LeMat-Bulk | PBE | relaxed
# total magnetic moment: 0.00 μB/f.u.
# uncorrected energy: -60.04 eV for the cell shown
data_K2NiICl6
_symmetry_space_group_name_H-M 'C 1 2/m 1'
_symmetry_Int_Tables_number 12
_cell_length_a 10.225
_cell_length_b 10.224
_cell_length_c 7.564
_cell_angle_alpha 90.00
_cell_angle_beta 132.42
_cell_angle_gamma 90.00
loop_
_symmetry_equiv_pos_as_xyz
'x,y,z'
'-x,-y,-z'
'-x,y,-z'
'x,-y,z'
'x+1/2,y+1/2,z'
'-x+1/2,-y+1/2,-z'
'-x+1/2,y+1/2,-z'
'x+1/2,-y+1/2,z'
loop_
_atom_site_label
_atom_site_fract_x
_atom_site_fract_y
_atom_site_fract_z
_atom_site_occupancy
K1 0.000 0.250 0.000 1
Ni1 0.000 0.000 0.500 1
I1 0.000 0.500 0.500 1
Cl1 0.000 0.230 0.500 1
Cl2 0.200 0.000 0.900 1
Cl3 0.230 0.000 0.500 1

# 4
# KNiI2Cl | Alexandria via LeMat-Bulk | PBE | relaxed
# total magnetic moment: 0.00 μB/f.u.
# uncorrected energy: -15.29 eV for the cell shown
data_KNiI2Cl
_symmetry_space_group_name_H-M 'P 4/m m m'
_symmetry_Int_Tables_number 123
_symmetry_space_group_name_Hall '-P 4 2'
_cell_length_a 5.534
_cell_length_b 5.534
_cell_length_c 4.721
_cell_angle_alpha 90.00
_cell_angle_beta 90.00
_cell_angle_gamma 90.00
loop_
_atom_site_label
_atom_site_fract_x
_atom_site_fract_y
_atom_site_fract_z
_atom_site_occupancy
K1 0.000 0.000 0.000 1
Ni1 0.500 0.500 0.500 1
I1 0.000 0.500 0.500 1
Cl1 0.500 0.500 0.000 1

# 5
# KICl2O | Alexandria via LeMat-Bulk | PBE | relaxed
# total magnetic moment: 0.00 μB/f.u.
# uncorrected energy: -31.20 eV for the cell shown
data_KICl2O
_symmetry_space_group_name_H-M 'P 1 21/m 1'
_symmetry_Int_Tables_number 11
_cell_length_a 5.166
_cell_length_b 7.579
_cell_length_c 8.148
_cell_angle_alpha 90.00
_cell_angle_beta 100.33
_cell_angle_gamma 90.00
loop_
_symmetry_equiv_pos_as_xyz
'x,y,z'
'-x,-y,-z'
'-x,y+1/2,-z'
'x,-y+1/2,z'
loop_
_atom_site_label
_atom_site_fract_x
_atom_site_fract_y
_atom_site_fract_z
_atom_site_occupancy
K1 0.247 0.250 0.363 1
I1 0.500 0.000 0.000 1
Cl1 0.261 0.002 0.690 1
O1 0.343 0.250 0.043 1

# 6
# K6I2ClO | Alexandria via LeMat-Bulk | PBE | relaxed
# total magnetic moment: 0.00 μB/f.u.
# uncorrected energy: -115.93 eV for the cell shown
data_K6I2ClO
_symmetry_space_group_name_H-M 'F m -3 m'
_symmetry_Int_Tables_number 225
_symmetry_space_group_name_Hall '-F 4 2 3'
_cell_length_a 11.584
_cell_length_b 11.584
_cell_length_c 11.584
_cell_angle_alpha 90.00
_cell_angle_beta 90.00
_cell_angle_gamma 90.00
loop_
_atom_site_label
_atom_site_fract_x
_atom_site_fract_y
_atom_site_fract_z
_atom_site_occupancy
K1 0.000 0.000 0.228 1
I1 0.250 0.250 0.250 1
Cl1 0.000 0.000 0.500 1
O1 0.000 0.000 0.000 1

# 7
# K5I2ClO | Alexandria via LeMat-Bulk | PBE | relaxed
# total magnetic moment: 0.00 μB/f.u.
# uncorrected energy: -56.13 eV for the cell shown
data_K5I2ClO
_symmetry_space_group_name_H-M 'I m m m'
_symmetry_Int_Tables_number 71
_symmetry_space_group_name_Hall '-I 2 2'
_cell_length_a 5.191
_cell_length_b 7.700
_cell_length_c 16.707
_cell_angle_alpha 90.00
_cell_angle_beta 90.00
_cell_angle_gamma 90.00
loop_
_atom_site_label
_atom_site_fract_x
_atom_site_fract_y
_atom_site_fract_z
_atom_site_occupancy
K1 0.000 0.000 0.000 1
K2 0.000 0.260 0.388 1
I1 0.000 0.000 0.212 1
Cl1 0.000 0.500 0.000 1
O1 0.000 0.500 0.500 1

# 8
# K7ICl2O2 | Alexandria via LeMat-Bulk | PBE | relaxed
# total magnetic moment: 0.00 μB/f.u.
# uncorrected energy: -79.71 eV for the cell shown
data_K7ICl2O2
_symmetry_space_group_name_H-M 'C 1 2/m 1'
_symmetry_Int_Tables_number 12
_cell_length_a 7.455
_cell_length_b 7.455
_cell_length_c 13.891
_cell_angle_alpha 90.00
_cell_angle_beta 105.56
_cell_angle_gamma 90.00
loop_
_symmetry_equiv_pos_as_xyz
'x,y,z'
'-x,-y,-z'
'-x,y,-z'
'x,-y,z'
'x+1/2,y+1/2,z'
'-x+1/2,-y+1/2,-z'
'-x+1/2,y+1/2,-z'
'x+1/2,-y+1/2,z'
loop_
_atom_site_label
_atom_site_fract_x
_atom_site_fract_y
_atom_site_fract_z
_atom_site_occupancy
K1 0.000 0.000 0.000 1
K2 0.148 0.250 0.796 1
K3 0.199 0.000 0.393 1
I1 0.000 0.500 0.000 1
Cl1 0.183 0.500 0.371 1
O1 0.102 0.000 0.204 1

# 9
# K7I2ClO2 | Alexandria via LeMat-Bulk | PBE | relaxed
# total magnetic moment: 0.00 μB/f.u.
# uncorrected energy: -77.53 eV for the cell shown
data_K7I2ClO2
_symmetry_space_group_name_H-M 'I 4/m m m'
_symmetry_Int_Tables_number 139
_symmetry_space_group_name_Hall '-I 4 2'
_cell_length_a 5.289
_cell_length_b 5.289
_cell_length_c 28.154
_cell_angle_alpha 90.00
_cell_angle_beta 90.00
_cell_angle_gamma 90.00
loop_
_atom_site_label
_atom_site_fract_x
_atom_site_fract_y
_atom_site_fract_z
_atom_site_occupancy
K1 0.000 0.000 0.000 1
K2 0.000 0.000 0.186 1
K3 0.000 0.500 0.091 1
I1 0.000 0.000 0.316 1
Cl1 0.000 0.000 0.500 1
O1 0.000 0.000 0.094 1

# 10
# K8I3Cl3O | Alexandria via LeMat-Bulk | PBE | relaxed
# total magnetic moment: 0.15 μB/f.u.
# uncorrected energy: -142.68 eV for the cell shown
data_K8I3Cl3O
_symmetry_space_group_name_H-M 'R -3 m'
_symmetry_Int_Tables_number 166
_symmetry_space_group_name_Hall '-R 3 2"'
_cell_length_a 9.2483
_cell_length_b 9.2483
_cell_length_c 24.1608
_cell_angle_alpha 90.00
_cell_angle_beta 90.00
_cell_angle_gamma 120.00
loop_
_atom_site_label
_atom_site_fract_x
_atom_site_fract_y
_atom_site_fract_z
_atom_site_occupancy
K1 0.0000 0.0000 0.2392 1
K2 0.0557 0.5278 0.2284 1
I1 0.0000 0.5000 0.0000 1
Cl1 0.0000 0.5000 0.5000 1
O1 0.0000 0.0000 0.5000 1

# 11
# K2I2ClO6 | Alexandria via LeMat-Bulk | PBE | relaxed
# total magnetic moment: 0.00 μB/f.u.
# uncorrected energy: -182.27 eV for the cell shown
data_K2I2ClO6
_symmetry_space_group_name_H-M 'P c a 21'
_symmetry_Int_Tables_number 29
_cell_length_a 15.635
_cell_length_b 7.135
_cell_length_c 7.869
_cell_angle_alpha 90.00
_cell_angle_beta 90.00
_cell_angle_gamma 90.00
loop_
_symmetry_equiv_pos_as_xyz
'x,y,z'
'-x,-y,z+1/2'
'-x+1/2,y,z+1/2'
'x+1/2,-y,z'
loop_
_atom_site_label
_atom_site_fract_x
_atom_site_fract_y
_atom_site_fract_z
_atom_site_occupancy
K1 0.035 0.027 0.000 1
K2 0.243 0.415 0.052 1
I1 0.047 0.523 0.286 1
I2 0.236 0.935 0.308 1
Cl1 0.119 0.701 0.761 1
O1 0.005 0.267 0.713 1
O2 0.065 0.394 0.089 1
O3 0.132 0.040 0.337 1
O4 0.160 0.603 0.323 1
O5 0.199 0.143 0.796 1
O6 0.227 0.880 0.059 1

# 12
# KICl4O | Alexandria via LeMat-Bulk | PBE | relaxed
# total magnetic moment: 1.96 μB/f.u.
# uncorrected energy: -69.57 eV for the cell shown
data_KICl4O
_symmetry_space_group_name_H-M 'P 1 21/c 1'
_symmetry_Int_Tables_number 14
_cell_length_a 5.160
_cell_length_b 13.764
_cell_length_c 13.080
_cell_angle_alpha 90.00
_cell_angle_beta 104.70
_cell_angle_gamma 90.00
loop_
_symmetry_equiv_pos_as_xyz
'x,y,z'
'-x,-y,-z'
'-x,y+1/2,-z+1/2'
'x,-y+1/2,z+1/2'
loop_
_atom_site_label
_atom_site_fract_x
_atom_site_fract_y
_atom_site_fract_z
_atom_site_occupancy
K1 0.247 0.180 0.012 1
I1 0.216 0.017 0.715 1
Cl1 0.005 0.669 0.746 1
Cl2 0.186 0.552 0.396 1
Cl3 0.279 0.087 0.549 1
Cl4 0.455 0.640 0.180 1
O1 0.303 0.736 0.565 1